Entry 1:
Below is crystalline Ta2AsOs at its relaxed geometry, with properties calculated at the PBE level.

Unit cell a=2.9432 b=2.9432 c=7.6571 alpha=90.00 beta=90.00 gamma=90.00
Element x y z (fractional)
Ta 0.0000 0.0000 0.0000
Ta 0.5000 0.5000 0.2959
As 0.0000 0.0000 0.5502
Os 0.5000 0.5000 0.7444

- symmetry = No. 99
- ΔE_f (eV/atom) = 0.056
- D(E_F) (states/eV/cell) = 4.1
- E (eV for the cell shown) = -39.359
- M_tot (Bohr magnetons per cell) = 0.0

***

Entry 2:
Below is crystalline Pr4HgRh at its relaxed geometry, with properties calculated at the PBE level.

Unit cell a=9.9872 b=9.9872 c=9.9872 alpha=60.00 beta=60.00 gamma=60.00
Element x y z (fractional)
Pr 0.0589 0.0589 0.4411
Pr 0.0589 0.4411 0.0589
Pr 0.0589 0.4411 0.4411
Pr 0.1879 0.1879 0.8121
Pr 0.1879 0.8121 0.1879
Pr 0.1879 0.8121 0.8121
Pr 0.1996 0.6001 0.6001
Pr 0.4411 0.0589 0.0589
Pr 0.4411 0.0589 0.4411
Pr 0.4411 0.4411 0.0589
Pr 0.6001 0.1996 0.6001
Pr 0.6001 0.6001 0.1996
Pr 0.6001 0.6001 0.6001
Pr 0.8121 0.1879 0.1879
Pr 0.8121 0.1879 0.8121
Pr 0.8121 0.8121 0.1879
Hg 0.4993 0.8336 0.8336
Hg 0.8336 0.4993 0.8336
Hg 0.8336 0.8336 0.4993
Hg 0.8336 0.8336 0.8336
Rh 0.3921 0.3921 0.3921
Rh 0.3921 0.3921 0.8238
Rh 0.3921 0.8238 0.3921
Rh 0.8238 0.3921 0.3921

- symmetry = No. 216
- ΔE_f (eV/atom) = -0.454
- D(E_F) (states/eV/cell) = 18.5
- E (eV for the cell shown) = -117.977
- M_tot (Bohr magnetons per cell) = 0.0

***

Entry 3:
Below is crystalline LaMg2Al at its relaxed geometry, with properties calculated at the PBE level.

Unit cell a=11.0891 b=11.0891 c=11.0891 alpha=16.73 beta=16.73 gamma=16.73
Element x y z (fractional)
La 0.0000 0.0000 0.0000
Mg 0.2404 0.2404 0.2404
Mg 0.7596 0.7596 0.7596
Al 0.5000 0.5000 0.5000

- symmetry = No. 166
- ΔE_f (eV/atom) = 0.053
- D(E_F) (states/eV/cell) = 2.5
- E (eV for the cell shown) = -11.645
- M_tot (Bohr magnetons per cell) = 0.5

***

Entry 4:
Below is crystalline CsMn2SnCl6 at its relaxed geometry, with properties calculated at the PBE level.

Unit cell a=10.1204 b=10.1204 c=6.7853 alpha=90.69 beta=90.69 gamma=86.97
Element x y z (fractional)
Cs 0.1840 0.8160 0.7500
Cs 0.8160 0.1840 0.2500
Mn 0.1046 0.3059 0.7374
Mn 0.3059 0.1046 0.2374
Mn 0.6941 0.8954 0.7626
Mn 0.8954 0.6941 0.2626
Sn 0.4716 0.5284 0.2500
Sn 0.5284 0.4716 0.7500
Cl 0.1111 0.6194 0.2819
Cl 0.1289 0.1490 0.0027
Cl 0.1490 0.1289 0.5027
Cl 0.2600 0.4697 0.7600
Cl 0.3806 0.8889 0.2181
Cl 0.4697 0.2600 0.2600
Cl 0.5303 0.7400 0.7400
Cl 0.6194 0.1111 0.7819
Cl 0.7400 0.5303 0.2400
Cl 0.8510 0.8711 0.4973
Cl 0.8711 0.8510 0.9973
Cl 0.8889 0.3806 0.7181

- symmetry = No. 15
- raw formation energy (meV/atom) = -1127
- E (eV for the cell shown) = -91.095
- M_tot (Bohr magnetons per cell) = 20.0

***

Entry 5:
Below is crystalline LiCuP2 at its relaxed geometry, with properties calculated at the PBE level.

Unit cell a=2.4609 b=2.4609 c=9.7732 alpha=90.00 beta=90.00 gamma=90.00
Element x y z (fractional)
Li 0.0000 0.0000 0.0000
Cu 0.5000 0.5000 0.7811
P 0.0000 0.0000 0.5785
P 0.5000 0.5000 0.2021

- symmetry = No. 99
- ΔE_f (eV/atom) = 0.098
- D(E_F) (states/eV/cell) = 2.5
- E (eV for the cell shown) = -16.437
- M_tot (Bohr magnetons per cell) = 0.0

***

Entry 6:
Below is crystalline Ca2Cu2W at its relaxed geometry, with properties calculated at the PBE level.

Unit cell a=6.5180 b=6.5180 c=6.5180 alpha=142.73 beta=142.73 gamma=53.73
Element x y z (fractional)
Ca 0.2500 0.7500 0.5000
Ca 0.7500 0.2500 0.5000
Cu 0.0926 0.0926 0.0000
Cu 0.9074 0.9074 0.0000
W 0.5000 0.5000 0.0000

- symmetry = No. 139
- ΔE_f (eV/atom) = 1.129
- D(E_F) (states/eV/cell) = 3.3
- E (eV for the cell shown) = -19.505
- M_tot (Bohr magnetons per cell) = 0.0

***

Entry 7:
Below is crystalline K4NaCd2 at its relaxed geometry, with properties calculated at the PBE level.

Unit cell a=8.5262 b=9.1181 c=10.1460 alpha=73.26 beta=75.19 gamma=71.22
Element x y z (fractional)
K 0.0000 0.0000 0.0000
K 0.0055 0.0296 0.5492
K 0.0193 0.5308 0.8661
K 0.4553 0.4804 0.0498
K 0.4886 0.4186 0.5114
K 0.5195 0.0375 0.8944
K 0.5913 0.0248 0.3295
K 0.9897 0.5284 0.4044
Na 0.3028 0.8173 0.2715
Na 0.5480 0.7249 0.6790
Cd 0.1947 0.1989 0.1778
Cd 0.6991 0.6796 0.1612
Cd 0.7660 0.3440 0.7552
Cd 0.8323 0.3278 0.2164

- symmetry = No. 1
- ΔE_f (eV/atom) = -0.008
- D(E_F) (states/eV/cell) = 8.9
- E (eV for the cell shown) = -15.191
- M_tot (Bohr magnetons per cell) = 0.0

***

Entry 8:
Below is crystalline AcLa2Pr2Ho at its relaxed geometry, with properties calculated at the PBE level.

Unit cell a=5.8838 b=10.2180 c=7.3598 alpha=90.00 beta=90.00 gamma=90.00
Element x y z (fractional)
Ac 0.0000 0.0003 0.0000
Ac 0.0000 0.9997 0.5000
La 0.0000 0.3342 0.2506
La 0.0000 0.6658 0.7506
La 0.5000 0.4995 0.0002
La 0.5000 0.5005 0.5002
Pr 0.0000 0.3361 0.7500
Pr 0.0000 0.6639 0.2500
Pr 0.5000 0.1704 0.2502
Pr 0.5000 0.8296 0.7502
Ho 0.5000 0.1670 0.7498
Ho 0.5000 0.8330 0.2498

- symmetry = No. 26
- ΔE_f (eV/atom) = 0.047
- D(E_F) (states/eV/cell) = 17.9
- E (eV for the cell shown) = -55.636
- M_tot (Bohr magnetons per cell) = 0.0

***

Number 1: V 66 Å³ per cell. Number 2: V 704 Å³ per cell. Number 3: V 99 Å³ per cell. Number 4: V 694 Å³ per cell. Number 5: V 59 Å³ per cell. Number 6: V 101 Å³ per cell. Number 7: V 703 Å³ per cell. Number 8: V 442 Å³ per cell.